Entry 1:
# Li2Ni, PBEsol geometry, DFT SCAN
data_Li2Ni
_cell_length_a 6.0735
_cell_length_b 6.0735
_cell_length_c 4.6042
_cell_angle_alpha 90.00
_cell_angle_beta 90.00
_cell_angle_gamma 90.00
_space_group_name_H-M_alt 'I 4/m c m'
_space_group_IT_number 140
_space_group_name_Hall '-I 4 2c'
loop_
_atom_site_label
_atom_site_fract_x
_atom_site_fract_y
_atom_site_fract_z
_atom_site_occupancy
Li1 0.1687 0.3313 0.0000 1
Ni1 0.0000 0.0000 0.2500 1
# calculated volume	14.2	Å³/atom
# ΔE_f	0.06	eV per atom
# electronic total energy	-6.92	eV/atom

Entry 2:
# Hf3BrCl, PBEsol geometry, DFT SCAN
data_Hf3BrCl
_cell_length_a 4.9225
_cell_length_b 4.9225
_cell_length_c 4.9225
_cell_angle_alpha 90.00
_cell_angle_beta 90.00
_cell_angle_gamma 90.00
_space_group_name_H-M_alt 'P m -3 m'
_space_group_IT_number 221
_space_group_name_Hall '-P 4 2 3'
loop_
_atom_site_label
_atom_site_fract_x
_atom_site_fract_y
_atom_site_fract_z
_atom_site_occupancy
Hf1 0.0000 0.0000 0.5000 1
Br1 0.0000 0.0000 0.0000 1
Cl1 0.5000 0.5000 0.5000 1
# calculated volume	23.9	Å³/atom
# electronic total energy	-42.05	eV/atom
# E_form (uncorrected)	100.7	kJ per mole of atoms

Entry 3:
# Zr2InPt, PBEsol geometry, DFT SCAN
data_Zr2InPt
_cell_length_a 4.3349
_cell_length_b 3.4598
_cell_length_c 10.7844
_cell_angle_alpha 90.00
_cell_angle_beta 90.00
_cell_angle_gamma 90.00
_space_group_name_H-M_alt 'A m m 2'
_space_group_IT_number 38
loop_
_space_group_symop_operation_xyz
'x,y,z'
'-x,-y,z'
'-x,y,z'
'x,-y,z'
'x,y+1/2,z+1/2'
'-x,-y+1/2,z+1/2'
'-x,y+1/2,z+1/2'
'x,-y+1/2,z+1/2'
loop_
_atom_site_label
_atom_site_fract_x
_atom_site_fract_y
_atom_site_fract_z
_atom_site_occupancy
Zr1 0.0000 0.0000 0.0000 1
Zr2 0.5000 0.0000 0.3102 1
In1 0.0000 0.0000 0.7274 1
Pt1 0.5000 0.0000 0.5643 1
# calculated volume	20.2	Å³/atom
# ΔE_f	-0.76	eV per atom
# electronic total energy	-42.00	eV/atom

Entry 4:
# ZnP2OsS, PBEsol geometry, DFT SCAN
data_ZnP2OsS
_cell_length_a 4.3464
_cell_length_b 4.3464
_cell_length_c 4.4309
_cell_angle_alpha 90.00
_cell_angle_beta 90.00
_cell_angle_gamma 90.00
_space_group_name_H-M_alt 'P 4/m m m'
_space_group_IT_number 123
_space_group_name_Hall '-P 4 2'
loop_
_atom_site_label
_atom_site_fract_x
_atom_site_fract_y
_atom_site_fract_z
_atom_site_occupancy
Zn1 0.0000 0.0000 0.0000 1
P1 0.0000 0.5000 0.0000 1
Os1 0.5000 0.5000 0.5000 1
S1 0.0000 0.0000 0.5000 1
# calculated volume	16.7	Å³/atom
# electronic total energy	-21.43	eV/atom
# E_form (uncorrected)	167.4	kJ per mole of atoms

Entry 5:
# YCr2Rh, PBEsol geometry, DFT SCAN
data_YCr2Rh
_cell_length_a 3.1208
_cell_length_b 4.2587
_cell_length_c 9.2403
_cell_angle_alpha 90.00
_cell_angle_beta 90.00
_cell_angle_gamma 90.00
_space_group_name_H-M_alt 'I m m m'
_space_group_IT_number 71
_space_group_name_Hall '-I 2 2'
loop_
_atom_site_label
_atom_site_fract_x
_atom_site_fract_y
_atom_site_fract_z
_atom_site_occupancy
Y1 0.0000 0.0000 0.0000 1
Cr1 0.0000 0.5000 0.2403 1
Rh1 0.0000 0.0000 0.5000 1
# offset from the most stable computed form	523	meV per atom
# calculated volume	15.4	Å³/atom
# ΔE_f	0.34	eV per atom
# electronic total energy	-24.26	eV/atom

Entry 6:
# InSb2WI, PBEsol geometry, DFT SCAN
data_InSb2WI
_cell_length_a 5.1419
_cell_length_b 5.1419
_cell_length_c 5.9107
_cell_angle_alpha 90.00
_cell_angle_beta 90.00
_cell_angle_gamma 90.00
_space_group_name_H-M_alt 'P 4/m m m'
_space_group_IT_number 123
_space_group_name_Hall '-P 4 2'
loop_
_atom_site_label
_atom_site_fract_x
_atom_site_fract_y
_atom_site_fract_z
_atom_site_occupancy
In1 0.0000 0.0000 0.0000 1
Sb1 0.0000 0.5000 0.5000 1
W1 0.5000 0.5000 0.5000 1
I1 0.5000 0.5000 0.0000 1
# calculated volume	31.3	Å³/atom
# electronic total energy	-42.27	eV/atom
# E_form (uncorrected)	57.9	kJ per mole of atoms

Entry 7:
# YGe2BMo, PBEsol geometry, DFT SCAN
data_YGe2BMo
_cell_length_a 4.2834
_cell_length_b 4.2834
_cell_length_c 4.6023
_cell_angle_alpha 90.00
_cell_angle_beta 90.00
_cell_angle_gamma 90.00
_space_group_name_H-M_alt 'P 4/m m m'
_space_group_IT_number 123
_space_group_name_Hall '-P 4 2'
loop_
_atom_site_label
_atom_site_fract_x
_atom_site_fract_y
_atom_site_fract_z
_atom_site_occupancy
Y1 0.0000 0.0000 0.0000 1
Ge1 0.0000 0.5000 0.5000 1
B1 0.0000 0.0000 0.5000 1
Mo1 0.5000 0.5000 0.0000 1
# calculated volume	16.9	Å³/atom
# ΔE_f	0.70	eV per atom
# electronic total energy	-20.97	eV/atom

Entry 8:
# Sc3Cu4Si4, PBEsol geometry, DFT SCAN
data_Sc3Cu4Si4
_cell_length_a 3.5806
_cell_length_b 3.9042
_cell_length_c 23.7289
_cell_angle_alpha 90.00
_cell_angle_beta 90.00
_cell_angle_gamma 90.00
_space_group_name_H-M_alt 'I m m m'
_space_group_IT_number 71
_space_group_name_Hall '-I 2 2'
loop_
_atom_site_label
_atom_site_fract_x
_atom_site_fract_y
_atom_site_fract_z
_atom_site_occupancy
Sc1 0.0000 0.0000 0.0000 1
Sc2 0.0000 0.5000 0.1473 1
Cu1 0.0000 0.0000 0.2533 1
Cu2 0.0000 0.5000 0.4049 1
Si1 0.0000 0.0000 0.4512 1
Si2 0.0000 0.5000 0.3102 1
# calculated volume	15.1	Å³/atom
# electronic total energy	-13.64	eV/atom
# E_form (uncorrected)	-57.2	kJ per mole of atoms